No. 1
The following is a DFT calculation (GGA-PBE) of crystalline EuNpBi2 at its relaxed geometry.

- crystal system = tetragonal
- calculated density (g/cm3) = 11.0
- N(E_F) (states/eV/f.u.) = 19.42
- offset from the most stable computed form (eV/f.u.) = 0.03

The structure in POSCAR format:
```
EuNpBi2
1.0
5.993 0.000 0.000
0.000 5.993 0.000
0.000 0.000 3.383
Eu Np Bi
1 1 2
direct
0.000 0.000 0.000 Eu
0.500 0.500 0.000 Np
0.000 0.500 0.500 Bi
0.500 0.000 0.500 Bi
```



No. 2
The following is a DFT calculation (GGA-PBE) of crystalline EuNpBi2 at its relaxed geometry.

- crystal system = tetragonal
- calculated density (g/cm3) = 11.0
- N(E_F) (states/eV/f.u.) = 10.20
- offset from the most stable computed form (eV/f.u.) = 0.00

The structure in POSCAR format:
```
EuNpBi2
1.0
3.727 0.000 0.000
0.000 3.727 0.000
0.000 0.000 8.763
Eu Np Bi
1 1 2
direct
0.000 0.000 0.000 Eu
0.000 0.000 0.500 Np
0.500 0.500 0.258 Bi
0.500 0.500 0.742 Bi
```



No. 3
The following is a DFT calculation (GGA-PBE) of crystalline Eu2BiO at its relaxed geometry.

- crystal system = tetragonal
- calculated density (g/cm3) = 9.6
- E_form (uncorrected) (eV per atom) = -1.346
- N(E_F) (states/eV/f.u.) = 1.13
- offset from the most stable computed form (eV/f.u.) = 1.20

The structure in POSCAR format:
```
Eu2BiO
1.0
3.358 0.000 0.000
0.000 3.358 0.000
0.000 0.000 8.087
Eu Bi O
2 1 1
direct
0.000 0.000 0.187 Eu
0.000 0.000 0.813 Eu
0.500 0.500 0.500 Bi
0.500 0.500 0.000 O
```



Q: Which value of offset from the most stable computed form does entry 3 give?
A: 1.20 eV/f.u.



Q: Which of these has the highest N(E_F)?
A: number 1



Q: Among the records above, which one has the lowest N(E_F)?
A: Eu2BiO